Entry 1:
PBE-GGA Na3Zn6Sn5, relaxed; formation enthalpy at 0 K = -0.07 eV/atom; V = 22.633 Å³/atom; magnetic moment = 0.00 μB per cell; uncorrected energy = -2.32 eV/atom; space-group type = Pmmn; N(E_F) = 7.71 states/eV/cell
1.0
4.6201 0.0000 0.0000
0.0000 13.2605 0.0000
0.0000 0.0000 10.3439
Na Zn Sn
6 12 10
Direct
0.2500 0.0503 0.2405
0.2500 0.4497 0.2405
0.2500 0.7500 0.2530
0.7500 0.2500 0.7470
0.7500 0.5503 0.7595
0.7500 0.9497 0.7595
0.2500 0.1040 0.6206
0.2500 0.2500 0.0646
0.2500 0.2500 0.4468
0.2500 0.3960 0.6206
0.2500 0.6009 0.9740
0.2500 0.8991 0.9740
0.7500 0.1009 0.0260
0.7500 0.3991 0.0260
0.7500 0.6040 0.3794
0.7500 0.7500 0.5532
0.7500 0.7500 0.9354
0.7500 0.8960 0.3794
0.2500 0.0976 0.8793
0.2500 0.4024 0.8793
0.2500 0.6004 0.5310
0.2500 0.7500 0.7658
0.2500 0.8996 0.5310
0.7500 0.1004 0.4690
0.7500 0.2500 0.2342
0.7500 0.3996 0.4690
0.7500 0.5976 0.1207
0.7500 0.9024 0.1207

=====

Entry 2:
PBE-GGA BaBe2Ru, relaxed; formation enthalpy at 0 K = 0.04 eV/atom; V = 19.473 Å³/atom; E above lowest polymorph = 0.000 eV/atom; magnetic moment = 0.00 μB per cell; uncorrected energy = -4.62 eV/atom; space-group type = R3m; N(E_F) = 1.90 states/eV/cell
1.0
1.9581 1.1305 5.8647
-1.9581 1.1305 5.8647
0.0000 -2.2610 5.8647
Ba Be Ru
1 2 1
Direct
0.0000 0.0000 0.0000
0.1798 0.1798 0.1798
0.5045 0.5045 0.5045
0.8097 0.8097 0.8097

=====

Entry 3:
PBE-GGA BaNpPdS4, relaxed; V = 23.114 Å³/atom; magnetic moment = 4.56 μB per cell; energy relative to the elements, uncorrected = -1.16 eV/atom; uncorrected energy = -6.38 eV/atom; space-group type = P2_1/m; N(E_F) = 17.74 states/eV/cell
1.0
6.6376 0.0000 0.0000
0.0000 5.9101 0.0000
-2.7062 0.0000 8.2487
Ba Np Pd S
2 2 2 8
Direct
0.2467 0.2500 0.4421
0.7533 0.7500 0.5579
0.2466 0.2500 0.9416
0.7534 0.7500 0.0584
0.2780 0.7500 0.1760
0.7220 0.2500 0.8240
0.0459 0.7500 0.9077
0.0528 0.7500 0.3480
0.4613 0.5269 0.7882
0.4613 0.9731 0.7882
0.5387 0.0269 0.2118
0.5387 0.4731 0.2118
0.9472 0.2500 0.6520
0.9541 0.2500 0.0923

=====

Entry 4:
PBE-GGA RbGa2Bi2, relaxed; formation enthalpy at 0 K = -0.03 eV/atom; V = 32.826 Å³/atom; E above lowest polymorph = 0.163 eV/atom; magnetic moment = 0.00 μB per cell; uncorrected energy = -2.98 eV/atom; space-group type = P4/mbm; N(E_F) = 3.01 states/eV/cell
1.0
9.2851 0.0000 0.0000
0.0000 9.2851 0.0000
0.0000 0.0000 3.8076
Rb Ga Bi
2 4 4
Direct
0.0000 0.0000 0.0000
0.5000 0.5000 0.0000
0.1400 0.3600 0.5000
0.3600 0.8600 0.5000
0.6400 0.1400 0.5000
0.8600 0.6400 0.5000
0.1232 0.6232 0.0000
0.3768 0.1232 0.0000
0.6232 0.8768 0.0000
0.8768 0.3768 0.0000